Compound: TiH3Se
Source: Alexandria via LeMat-Bulk
Functional: PBE-GGA
Structure: relaxed

a = 3.672 Å, b = 3.672 Å, c = 3.672 Å
α = 90.00°, β = 90.00°, γ = 90.00°
Space group Pm-3m (No. 221)
One atom of each set of equivalent atoms:
Ti (0.000, 0.000, 0.000)
H (0.000, 0.500, 0.500)
Se (0.500, 0.500, 0.500)

Calculated values
* DOS(E_F): 0.497 states/eV/atom
* energy: -3.453 eV per atom
* excess energy over the best structure of this formula in the dataset: 683 meV per atom
* spin magnetization: 1.290 μB/f.u.


Compound: TaTc2As
Source: Alexandria via LeMat-Bulk
Functional: PBE-GGA
Structure: relaxed

a = 2.8572 Å, b = 2.8572 Å, c = 26.9684 Å
α = 90.00°, β = 90.00°, γ = 120.00°
Space group R3m (No. 160, hexagonal axes)
One atom of each set of equivalent atoms:
Ta (0.0000, 0.0000, 0.0000)
Tc (0.0000, 0.0000, 0.4996)
Tc (0.0000, 0.0000, 0.7564)
As (0.0000, 0.0000, 0.2481)

Calculated values
* DOS(E_F): 0.863 states/eV/atom
* formation enthalpy at 0 K: 113.8 meV per atom
* energy: -9.195 eV per atom
* spin magnetization: 0.000 μB/f.u.


Compound: RbNi2RhC
Source: Alexandria via LeMat-Bulk
Functional: PBE-GGA
Structure: relaxed

a = 3.755 Å, b = 3.755 Å, c = 5.591 Å
α = 90.00°, β = 90.00°, γ = 90.00°
Space group P4/mmm (No. 123)
One atom of each set of equivalent atoms:
Rb (0.000, 0.000, 0.000)
Ni (0.000, 0.500, 0.500)
Rh (0.500, 0.500, 0.000)
C (0.000, 0.000, 0.500)

Calculated values
* DOS(E_F): 0.955 states/eV/atom
* formation enthalpy at 0 K: 1065.4 meV per atom
* energy: -4.756 eV per atom
* spin magnetization: 0.000 μB/f.u.


Compound: Pm2Pr3Nd5
Source: Alexandria via LeMat-Bulk
Functional: PBE-GGA
Structure: relaxed

a = 6.676 Å, b = 6.684 Å, c = 9.945 Å
α = 70.44°, β = 70.63°, γ = 60.14°
Space group P-1 (No. 2)
One atom of each set of equivalent atoms:
Pm (0.019, 0.353, 0.187)
Pr (0.000, 0.500, 0.500)
Pr (0.151, 0.059, 0.812)
Nd (0.346, 0.848, 0.458)
Nd (0.439, 0.522, 0.187)
Nd (0.500, 0.000, 0.000)

Calculated values
* DOS(E_F): 1.460 states/eV/atom
* formation enthalpy at 0 K: 143.4 meV per atom
* energy: -4.625 eV per atom
* excess energy over the best structure of this formula in the dataset: 0 meV per atom
* spin magnetization: 0.000 μB/f.u.


Compound: BiPdPt
Source: Alexandria via LeMat-Bulk
Functional: PBE-GGA
Structure: relaxed

a = 8.945 Å, b = 4.205 Å, c = 6.856 Å
α = 90.00°, β = 106.83°, γ = 90.00°
Space group C2/m (No. 12)
One atom of each set of equivalent atoms:
Bi (0.187, 0.000, 0.167)
Pd (0.126, 0.500, 0.418)
Pt (0.093, 0.000, 0.707)

Calculated values
* DOS(E_F): 0.413 states/eV/atom
* formation enthalpy at 0 K: -212.9 meV per atom
* energy: -5.251 eV per atom
* excess energy over the best structure of this formula in the dataset: 0 meV per atom
* spin magnetization: 0.000 μB/f.u.


Compound: KSbP4
Source: Alexandria via LeMat-Bulk
Functional: PBE-GGA
Structure: relaxed

a = 8.450 Å, b = 8.450 Å, c = 8.450 Å
α = 90.00°, β = 90.00°, γ = 90.00°
Space group F-43m (No. 216)
One atom of each set of equivalent atoms:
K (0.000, 0.000, 0.000)
Sb (0.250, 0.250, 0.250)
P (0.094, 0.094, 0.594)

Calculated values
* DOS(E_F): 0.807 states/eV/atom
* energy: -4.256 eV per atom
* raw formation energy: 0.2202 eV/atom
* spin magnetization: 0.000 μB/f.u.